Record 1
Compound: RbTi5Cl12
Source: the Alexandria database
Functional: PBE-GGA
Structure: optimized geometry

The structure belongs to space group Immm (No. 71); the cell edges are 9.6489, 9.6528 and 9.8127 Å and the angles 90.00°, 90.00° and 90.00°. Symmetry generates all atoms from Rb at (0.0000, 0.0000, 0.0000), Ti at (0.0000, 0.5000, 0.1362), Ti at (0.0000, 0.5000, 0.5000), Ti at (0.1326, 0.0000, 0.5000), Cl at (0.0000, 0.1570, 0.3464), Cl at (0.1590, 0.3399, 0.0000) and Cl at (0.1754, 0.5000, 0.3201).

Its crystal system is orthorhombic. For the theoretical density, the calculation gives 2726 kg/m³. The formation energy without anion corrections is -1.40 eV/atom.

***

Record 2
Compound: Cr11W5
Source: the Alexandria database
Functional: PBE-GGA
Structure: optimized geometry

The structure belongs to space group Pm (No. 6); the cell edges are 5.9613, 5.9694 and 5.9768 Å and the angles 90.00°, 90.35° and 90.00°. Symmetry generates all atoms from Cr at (0.0000, 0.0000, 0.0000), Cr at (0.0008, 0.0000, 0.5124), Cr at (0.2508, 0.2523, 0.7580), Cr at (0.5053, 0.5000, 0.5126), Cr at (0.5085, 0.5000, 0.0011), Cr at (0.7546, 0.2531, 0.2534), Cr at (0.7560, 0.2531, 0.7604), Cr at (0.9962, 0.5000, 0.0025), W at (0.2490, 0.2527, 0.2522), W at (0.5115, 0.0000, 0.0005), W at (0.5115, 0.0000, 0.5113) and W at (0.9946, 0.5000, 0.5147).

Its crystal system is monoclinic. For the theoretical density, the calculation gives 11642 kg/m³. The formation energy is 83 meV per atom.

***

Record 3
Compound: Y2TeAs
Source: the Alexandria database
Functional: PBE-GGA
Structure: optimized geometry

The structure belongs to space group Imm2 (No. 44); the cell edges are 3.9328, 3.9473 and 14.3155 Å and the angles 90.00°, 90.00° and 90.00°. Symmetry generates all atoms from Y at (0.0000, 0.0000, 0.0000), Y at (0.0000, 0.5000, 0.2807), Te at (0.0000, 0.0000, 0.6048) and As at (0.0000, 0.5000, 0.8512).

The excess energy over the best structure of this formula in the dataset is 85 kJ/mol of formula units. Its crystal system is orthorhombic. For the theoretical density, the calculation gives 5684 kg/m³. The formation energy without anion corrections is -1.30 eV/atom.

***

Record 4
Compound: Tb3PtO6
Source: the Alexandria database
Functional: PBE-GGA
Structure: optimized geometry

The structure belongs to space group Cmc2_1 (No. 36); the cell edges are 9.0956, 11.0959 and 5.5526 Å and the angles 90.00°, 90.00° and 90.00°. Symmetry generates all atoms from Tb at (0.0000, 0.1030, 0.0000), Tb at (0.2115, 0.3815, 0.9482), Pt at (0.0000, 0.3689, 0.4456), O at (0.0000, 0.2815, 0.7628), O at (0.0000, 0.4730, 0.1290), O at (0.1453, 0.2459, 0.2429) and O at (0.1574, 0.0153, 0.7214).

Its crystal system is orthorhombic. For the theoretical density, the calculation gives 9101 kg/m³. The formation energy without anion corrections is -2.67 eV/atom.

***

Record 5
Compound: PrLu2Th
Source: the Alexandria database
Functional: PBE-GGA
Structure: optimized geometry

The structure belongs to space group P4/mmm (No. 123); the cell edges are 3.5883, 3.5883 and 9.8360 Å and the angles 90.00°, 90.00° and 90.00°. Symmetry generates all atoms from Pr at (0.0000, 0.0000, 0.0000), Lu at (0.5000, 0.5000, 0.2590) and Th at (0.0000, 0.0000, 0.5000).

The excess energy over the best structure of this formula in the dataset is 0 kJ/mol of formula units. Its crystal system is tetragonal. For the theoretical density, the calculation gives 9478 kg/m³. The formation energy is 9 meV per atom.

***

Record 6
Compound: AlCr2As
Source: the Alexandria database
Functional: PBE-GGA
Structure: optimized geometry

The structure belongs to space group C2/m (No. 12); the cell edges are 8.3089, 2.9816 and 4.5400 Å and the angles 90.00°, 102.67° and 90.00°. Symmetry generates all atoms from Al at (0.0000, 0.0000, 0.0000), Cr at (0.2417, 0.0000, 0.7301) and As at (0.0000, 0.5000, 0.5000).

The excess energy over the best structure of this formula in the dataset is 87 kJ/mol of formula units. Its crystal system is monoclinic. For the theoretical density, the calculation gives 6231 kg/m³. The formation energy is 170 meV per atom.

***

Record 7
Compound: FeAs3Cl
Source: the Alexandria database
Functional: PBE-GGA
Structure: optimized geometry

The structure belongs to space group Pm-3m (No. 221); the cell edges are 4.7302, 4.7302 and 4.7302 Å and the angles 90.00°, 90.00° and 90.00°. Symmetry generates all atoms from Fe at (0.0000, 0.0000, 0.0000), As at (0.0000, 0.5000, 0.5000) and Cl at (0.5000, 0.5000, 0.5000).

The excess energy over the best structure of this formula in the dataset is 604 kJ/mol of formula units. Its crystal system is cubic. For the theoretical density, the calculation gives 4959 kg/m³. The formation energy without anion corrections is 1.61 eV/atom.

***

Record 8
Compound: BaLiN2
Source: the Alexandria database
Functional: PBE-GGA
Structure: optimized geometry

The structure belongs to space group Fm-3m (No. 225); the cell edges are 6.4430, 6.4430 and 6.4430 Å and the angles 90.00°, 90.00° and 90.00°. Symmetry generates all atoms from Ba at (0.0000, 0.0000, 0.0000), Li at (0.0000, 0.0000, 0.5000) and N at (0.2500, 0.2500, 0.2500).

The excess energy over the best structure of this formula in the dataset is 145 kJ/mol of formula units. Its crystal system is cubic. For the theoretical density, the calculation gives 4278 kg/m³. The formation energy without anion corrections is 0.66 eV/atom.

***

Q: Number 3 is which compound?
A: Y2TeAs

***

Please write out number 7 again, unchanged.
Compound: FeAs3Cl
Source: the Alexandria database
Functional: PBE-GGA
Structure: optimized geometry

The structure belongs to space group Pm-3m (No. 221); the cell edges are 4.7302, 4.7302 and 4.7302 Å and the angles 90.00°, 90.00° and 90.00°. Symmetry generates all atoms from Fe at (0.0000, 0.0000, 0.0000), As at (0.0000, 0.5000, 0.5000) and Cl at (0.5000, 0.5000, 0.5000).

The excess energy over the best structure of this formula in the dataset is 604 kJ/mol of formula units. Its crystal system is cubic. For the theoretical density, the calculation gives 4959 kg/m³. The formation energy without anion corrections is 1.61 eV/atom.